Entry 1:
DFT (PBE-GGA) results for ThTaMnC3 after structural relaxation.

The structure belongs to space group P2_1/m (No. 11); the cell edges are 7.0936, 3.3271 and 7.4481 Å and the angles 90.00°, 104.96° and 90.00°. The asymmetric unit holds Th at (0.1908, 0.2500, 0.2055), Ta at (0.3493, 0.7500, 0.8561), Mn at (0.0941, 0.2500, 0.6051), C at (0.1228, 0.2500, 0.8585), C at (0.1750, 0.7500, 0.5323) and C at (0.4419, 0.7500, 0.1556).

As for the energy relative to the elements: -15.9 kJ per mole of atoms. The calculation puts the calculated volume at 14.2 Å³/atom. As for the total energy: -9.5167 eV per atom. The value obtained for the density of states at the Fermi level is 0.5083 states/eV/atom.

Entry 2:
DFT (PBE-GGA) results for TbDy2Ho2Mg5 after structural relaxation.

The structure belongs to space group P4/mbm (No. 127); the cell edges are 10.5480, 10.5480 and 5.0707 Å and the angles 90.00°, 90.00° and 90.00°. The asymmetric unit holds Tb at (0.0000, 0.0000, 0.0000), Dy at (0.1776, 0.3224, 0.0000), Ho at (0.1191, 0.6191, 0.0000), Mg at (0.0000, 0.5000, 0.5000) and Mg at (0.0749, 0.8035, 0.5000).

As for the energy relative to the elements: 7.3 kJ per mole of atoms. The calculation puts the calculated volume at 28.2 Å³/atom. As for the total energy: -3.0203 eV per atom. The value obtained for the density of states at the Fermi level is 0.8002 states/eV/atom.

Entry 3:
DFT (PBE-GGA) results for BaH3Pd after structural relaxation.

The structure belongs to space group P1 (No. 1); the cell edges are 5.0082, 5.1510 and 6.5244 Å and the angles 70.31°, 88.30° and 85.95°. The asymmetric unit holds Ba at (0.0000, 0.0000, 0.0000), Ba at (0.4713, 0.7077, 0.5742), H at (0.0413, 0.4008, 0.6037), H at (0.2348, 0.4556, 0.9810), H at (0.5075, 0.8496, 0.9458), H at (0.6503, 0.1746, 0.2803), H at (0.7667, 0.5670, 0.2652), H at (0.9754, 0.9160, 0.5856), Pd at (0.5067, 0.5049, 0.1108) and Pd at (0.8967, 0.2529, 0.4402).

The calculation puts the calculated volume at 15.8 Å³/atom. As for the total energy: -3.8756 eV per atom. The value obtained for the density of states at the Fermi level is 0.0000 states/eV/atom.

Q: Look up the calculated volume of the third one.
A: 15.8 Å³/atom